(1)
## LaAgAsO (PBE)

Data for an optimized crystal structure of LaAgAsO.

The space group is Pmc2_1 (No. 26) and the conventional cell measures 3.935, 7.945 and 6.229 Å, with angles of 90.00, 90.00 and 90.00 degrees. Symmetry generates all atoms from La at (0.000, 0.232, 0.000), Ag at (0.500, 0.359, 0.497), As at (0.000, 0.156, 0.499) and O at (0.500, 0.357, 0.996).

---

(2)
## LaAgAsO (PBE)

Data for an optimized crystal structure of LaAgAsO.

The space group is P4/nmm (No. 129, origin choice 2) and the conventional cell measures 4.158, 4.158 and 9.158 Å, with angles of 90.00, 90.00 and 90.00 degrees. Symmetry generates all atoms from La at (0.250, 0.250, 0.130), Ag at (0.250, 0.750, 0.500), As at (0.250, 0.250, 0.684) and O at (0.250, 0.750, 0.000).

---

Which is most stable, and by how much? (2), by 36.3 kJ/mol of atoms.

---

(1)
## LiAgAsO (PBE)

Data for an optimized crystal structure of LiAgAsO.

The space group is P4/nmm (No. 129, origin choice 2) and the conventional cell measures 3.980, 3.980 and 7.000 Å, with angles of 90.00, 90.00 and 90.00 degrees. Symmetry generates all atoms from Li at (0.250, 0.250, 0.112), Ag at (0.250, 0.750, 0.500), As at (0.250, 0.250, 0.760) and O at (0.250, 0.750, 0.000).

---

(2)
## LiAgAsO (PBE)

Data for an optimized crystal structure of LiAgAsO.

The space group is Pmc2_1 (No. 26) and the conventional cell measures 3.067, 8.133 and 5.132 Å, with angles of 90.00, 90.00 and 90.00 degrees. Symmetry generates all atoms from Li at (0.000, 0.096, 0.000), Ag at (0.500, 0.282, 0.433), As at (0.500, 0.411, 0.923) and O at (0.000, 0.104, 0.355).

---

Which is most stable, and by how much? (2), by 8.2 kJ/mol of atoms.

---

(1)
## LiAgAsO (PBE)

Data for an optimized crystal structure of LiAgAsO.

The space group is P4/nmm (No. 129, origin choice 2) and the conventional cell measures 3.892, 3.892 and 8.012 Å, with angles of 90.00, 90.00 and 90.00 degrees. Symmetry generates all atoms from Li at (0.250, 0.750, 0.000), Ag at (0.250, 0.250, 0.226), As at (0.250, 0.250, 0.635) and O at (0.250, 0.750, 0.500).

---

(2)
## LiAgAsO (PBE)

Data for an optimized crystal structure of LiAgAsO.

The space group is Pmc2_1 (No. 26) and the conventional cell measures 3.524, 7.570 and 4.616 Å, with angles of 90.00, 90.00 and 90.00 degrees. Symmetry generates all atoms from Li at (0.000, 0.189, 0.000), Ag at (0.500, 0.165, 0.498), As at (0.000, 0.421, 0.498) and O at (0.500, 0.128, 0.997).

---

Which is most stable, and by how much? (2), by 40.4 kJ/mol of atoms.

---

(1)
## MgNiAgAs (PBE)

Data for an optimized crystal structure of MgNiAgAs.

The space group is F-43m (No. 216) and the conventional cell measures 6.343, 6.343 and 6.343 Å, with angles of 90.00, 90.00 and 90.00 degrees. Symmetry generates all atoms from Mg at (0.000, 0.000, 0.000), Ni at (0.000, 0.000, 0.500), Ag at (0.250, 0.250, 0.750) and As at (0.250, 0.250, 0.250).

---

(2)
## MgNiAgAs (PBE)

Data for an optimized crystal structure of MgNiAgAs.

The space group is F-43m (No. 216) and the conventional cell measures 6.427, 6.427 and 6.427 Å, with angles of 90.00, 90.00 and 90.00 degrees. Symmetry generates all atoms from Mg at (0.000, 0.000, 0.000), Ni at (0.250, 0.250, 0.250), Ag at (0.000, 0.000, 0.500) and As at (0.250, 0.250, 0.750).

---

Which is most stable, and by how much? (1), by 11.3 kJ/mol of atoms.

---

(1)
## MgAgAsO (PBE)

Data for an optimized crystal structure of MgAgAsO.

The space group is Pmc2_1 (No. 26) and the conventional cell measures 3.242, 7.584 and 5.481 Å, with angles of 90.00, 90.00 and 90.00 degrees. Symmetry generates all atoms from Mg at (0.000, 0.187, 0.000), Ag at (0.500, 0.191, 0.461), As at (0.000, 0.456, 0.397) and O at (0.500, 0.099, 0.872).

---

(2)
## MgAgAsO (PBE)

Data for an optimized crystal structure of MgAgAsO.

The space group is P4/nmm (No. 129, origin choice 2) and the conventional cell measures 4.502, 4.502 and 7.814 Å, with angles of 90.00, 90.00 and 90.00 degrees. Symmetry generates all atoms from Mg at (0.250, 0.750, 0.000), Ag at (0.250, 0.250, 0.499), As at (0.250, 0.250, 0.169) and O at (0.250, 0.750, 0.500).

---

(3)
## MgAgAsO (PBE)

Data for an optimized crystal structure of MgAgAsO.

The space group is P4/nmm (No. 129, origin choice 2) and the conventional cell measures 4.033, 4.033 and 9.003 Å, with angles of 90.00, 90.00 and 90.00 degrees. Symmetry generates all atoms from Mg at (0.250, 0.250, 0.009), Ag at (0.250, 0.750, 0.500), As at (0.250, 0.250, 0.687) and O at (0.250, 0.750, 0.000).

---

(4)
## MgAgAsO (PBE)

Data for an optimized crystal structure of MgAgAsO.

The space group is Pmc2_1 (No. 26) and the conventional cell measures 3.313, 7.441 and 5.664 Å, with angles of 90.00, 90.00 and 90.00 degrees. Symmetry generates all atoms from Mg at (0.000, 0.145, 0.000), Ag at (0.500, 0.236, 0.489), As at (0.500, 0.432, 0.889) and O at (0.000, 0.066, 0.316).

---

Which is most stable, and by how much? (3), by 8.4 kJ/mol of atoms.

---

(1)
## AgAsNO (PBE)

Data for an optimized crystal structure of AgAsNO.

The space group is P4/nmm (No. 129, origin choice 2) and the conventional cell measures 4.657, 4.657 and 4.468 Å, with angles of 90.00, 90.00 and 90.00 degrees. Symmetry generates all atoms from Ag at (0.250, 0.250, 0.003), As at (0.250, 0.750, 0.500), N at (0.250, 0.250, 0.503) and O at (0.250, 0.750, 0.000).

---

(2)
## AgAsNO (PBE)

Data for an optimized crystal structure of AgAsNO.

The space group is P4/nmm (No. 129, origin choice 2) and the conventional cell measures 3.772, 3.772 and 7.227 Å, with angles of 90.00, 90.00 and 90.00 degrees. Symmetry generates all atoms from Ag at (0.250, 0.750, 0.000), As at (0.250, 0.250, 0.364), N at (0.250, 0.250, 0.816) and O at (0.250, 0.750, 0.500).

---

(3)
## AgAsNO (PBE)

Data for an optimized crystal structure of AgAsNO.

The space group is Pca2_1 (No. 29) and the conventional cell measures 6.789, 6.724 and 5.225 Å, with angles of 90.00, 90.00 and 90.00 degrees. Symmetry generates all atoms from Ag at (0.157, 0.105, 0.000), As at (0.099, 0.644, 0.015), N at (0.042, 0.143, 0.620) and O at (0.051, 0.427, 0.224).

---

(4)
## AgAsNO (PBE)

Data for an optimized crystal structure of AgAsNO.

The space group is Pmc2_1 (No. 26) and the conventional cell measures 3.568, 5.984 and 5.283 Å, with angles of 90.00, 90.00 and 90.00 degrees. Symmetry generates all atoms from Ag at (0.000, 0.159, 0.000), As at (0.500, 0.346, 0.510), N at (0.500, 0.379, 0.857) and O at (0.000, 0.230, 0.451).

---

Which is most stable, and by how much? (4), by 8.6 kJ/mol of atoms.